# 1
# PBE CaPuPt, optimized geometry
data_CaPuPt
_symmetry_space_group_name_H-M 'F d d d'
_symmetry_Int_Tables_number 70
_cell_length_a 9.509
_cell_length_b 10.074
_cell_length_c 13.908
_cell_angle_alpha 90.00
_cell_angle_beta 90.00
_cell_angle_gamma 90.00
loop_
_symmetry_equiv_pos_as_xyz
'x,y,z'
'-x,-y,-z'
'-x+1/4,-y+1/4,z'
'x+1/4,y+1/4,-z'
'x,-y+1/4,-z+1/4'
'-x,y+1/4,z+1/4'
'-x+1/4,y,-z+1/4'
'x+1/4,-y,z+1/4'
'x,y+1/2,z+1/2'
'-x,-y+1/2,-z+1/2'
'-x+1/4,-y+3/4,z+1/2'
'x+1/4,y+3/4,-z+1/2'
'x,-y+3/4,-z+3/4'
'-x,y+3/4,z+3/4'
'-x+1/4,y+1/2,-z+3/4'
'x+1/4,-y+1/2,z+3/4'
'x+1/2,y,z+1/2'
'-x+1/2,-y,-z+1/2'
'-x+3/4,-y+1/4,z+1/2'
'x+3/4,y+1/4,-z+1/2'
'x+1/2,-y+1/4,-z+3/4'
'-x+1/2,y+1/4,z+3/4'
'-x+3/4,y,-z+3/4'
'x+3/4,-y,z+3/4'
'x+1/2,y+1/2,z'
'-x+1/2,-y+1/2,-z'
'-x+3/4,-y+3/4,z'
'x+3/4,y+3/4,-z'
'x+1/2,-y+3/4,-z+1/4'
'-x+1/2,y+3/4,z+1/4'
'-x+3/4,y+1/2,-z+1/4'
'x+3/4,-y+1/2,z+1/4'
loop_
_atom_site_label
_atom_site_type_symbol
_atom_site_fract_x
_atom_site_fract_y
_atom_site_fract_z
Ca1 Ca 0.125 0.125 0.004
Pu1 Pu 0.125 0.125 0.500
Pt1 Pt 0.125 0.366 0.625
# **Magnetization**: 5.932 μB/f.u.
# **Excess energy over the best structure of this formula in the dataset**: 75.5 meV/atom
# **ΔH_f (0 K)**: -0.5575 eV per atom
# **DOS at the Fermi energy**: 155.130 states/eV/cell
# **E_tot**: -384.75 eV/cell


# 2
# PBE CaPuPtRh, optimized geometry
data_CaPuPtRh
_symmetry_space_group_name_H-M 'F -4 3 m'
_symmetry_Int_Tables_number 216
_symmetry_space_group_name_Hall 'F -4 2 3'
_cell_length_a 6.920
_cell_length_b 6.920
_cell_length_c 6.920
_cell_angle_alpha 90.00
_cell_angle_beta 90.00
_cell_angle_gamma 90.00
loop_
_atom_site_label
_atom_site_type_symbol
_atom_site_fract_x
_atom_site_fract_y
_atom_site_fract_z
Ca1 Ca 0.000 0.000 0.000
Pu1 Pu 0.000 0.000 0.500
Pt1 Pt 0.250 0.250 0.250
Rh1 Rh 0.250 0.250 0.750
# **Magnetization**: 4.821 μB/f.u.
# **ΔH_f (0 K)**: -0.5825 eV per atom
# **DOS at the Fermi energy**: 37.293 states/eV/cell
# **E_tot**: -128.22 eV/cell


# 3
# PBE Ca2PuSi3Pt4, optimized geometry
data_Ca2PuSi3Pt4
_symmetry_space_group_name_H-M 'P -4 m 2'
_symmetry_Int_Tables_number 115
_cell_length_a 4.272
_cell_length_b 4.272
_cell_length_c 10.770
_cell_angle_alpha 90.00
_cell_angle_beta 90.00
_cell_angle_gamma 90.00
loop_
_symmetry_equiv_pos_as_xyz
'x,y,z'
'y,-x,-z'
'-x,-y,z'
'-y,x,-z'
'-x,y,z'
'-y,-x,-z'
'x,-y,z'
'y,x,-z'
loop_
_atom_site_label
_atom_site_type_symbol
_atom_site_fract_x
_atom_site_fract_y
_atom_site_fract_z
Ca1 Ca 0.000 0.500 0.230
Pu1 Pu 0.000 0.000 0.500
Si1 Si 0.000 0.500 0.885
Si2 Si 0.500 0.500 0.500
Pt1 Pt 0.000 0.000 0.000
Pt2 Pt 0.000 0.500 0.666
Pt3 Pt 0.500 0.500 0.000
# **Magnetization**: 5.302 μB/f.u.
# **ΔE_f (raw)**: -0.8619 eV/atom
# **DOS at the Fermi energy**: 10.055 states/eV/cell
# **E_tot**: -67.39 eV/cell


# 4
# PBE Ca2PuSn3Pt4, optimized geometry
data_Ca2PuSn3Pt4
_symmetry_space_group_name_H-M 'P -4 m 2'
_symmetry_Int_Tables_number 115
_cell_length_a 4.653
_cell_length_b 4.653
_cell_length_c 11.020
_cell_angle_alpha 90.00
_cell_angle_beta 90.00
_cell_angle_gamma 90.00
loop_
_symmetry_equiv_pos_as_xyz
'x,y,z'
'y,-x,-z'
'-x,-y,z'
'-y,x,-z'
'-x,y,z'
'-y,-x,-z'
'x,-y,z'
'y,x,-z'
loop_
_atom_site_label
_atom_site_type_symbol
_atom_site_fract_x
_atom_site_fract_y
_atom_site_fract_z
Ca1 Ca 0.000 0.500 0.219
Pu1 Pu 0.000 0.000 0.500
Sn1 Sn 0.000 0.500 0.878
Sn2 Sn 0.500 0.500 0.500
Pt1 Pt 0.000 0.000 0.000
Pt2 Pt 0.000 0.500 0.642
Pt3 Pt 0.500 0.500 0.000
# **Magnetization**: 5.353 μB/f.u.
# **ΔH_f (0 K)**: -0.7340 eV per atom
# **DOS at the Fermi energy**: 11.636 states/eV/cell
# **E_tot**: -61.85 eV/cell


Question: Which formula does entry 2 have?
Answer: CaPuPtRh


Question: Which formula does entry 4 have?
Answer: Ca2PuSn3Pt4


Copy entry 4 word for word.
# PBE Ca2PuSn3Pt4, optimized geometry
data_Ca2PuSn3Pt4
_symmetry_space_group_name_H-M 'P -4 m 2'
_symmetry_Int_Tables_number 115
_cell_length_a 4.653
_cell_length_b 4.653
_cell_length_c 11.020
_cell_angle_alpha 90.00
_cell_angle_beta 90.00
_cell_angle_gamma 90.00
loop_
_symmetry_equiv_pos_as_xyz
'x,y,z'
'y,-x,-z'
'-x,-y,z'
'-y,x,-z'
'-x,y,z'
'-y,-x,-z'
'x,-y,z'
'y,x,-z'
loop_
_atom_site_label
_atom_site_type_symbol
_atom_site_fract_x
_atom_site_fract_y
_atom_site_fract_z
Ca1 Ca 0.000 0.500 0.219
Pu1 Pu 0.000 0.000 0.500
Sn1 Sn 0.000 0.500 0.878
Sn2 Sn 0.500 0.500 0.500
Pt1 Pt 0.000 0.000 0.000
Pt2 Pt 0.000 0.500 0.642
Pt3 Pt 0.500 0.500 0.000
# **Magnetization**: 5.353 μB/f.u.
# **ΔH_f (0 K)**: -0.7340 eV per atom
# **DOS at the Fermi energy**: 11.636 states/eV/cell
# **E_tot**: -61.85 eV/cell


Question: Number 4 is which compound?
Answer: Ca2PuSn3Pt4